No. 1
A relaxed structure of Hf2Be2Pt. Source: Alexandria via LeMat-Bulk, functional GGA-PBEsol.

abc: 6.290 6.290 3.606
angles: 90.00 90.00 90.00
Atoms (fractional coordinates):
Hf1 0.174 0.326 0.000
Hf2 0.326 0.826 0.000
Hf3 0.674 0.174 0.000
Hf4 0.826 0.674 0.000
Be1 0.123 0.623 0.500
Be2 0.377 0.123 0.500
Be3 0.623 0.877 0.500
Be4 0.877 0.377 0.500
Pt1 0.000 0.000 0.500
Pt2 0.500 0.500 0.500

**Total DFT energy (no corrections)**: -7.839 eV/atom
**Calculated density**: 13.3 g cm⁻³

No. 2
A relaxed structure of HfBePt2. Source: Alexandria via LeMat-Bulk, functional GGA-PBEsol.

abc: 4.407 4.407 4.407
angles: 60.00 60.00 60.00
Atoms (fractional coordinates):
Hf1 0.000 0.000 0.000
Be1 0.500 0.500 0.500
Pt1 0.250 0.250 0.250
Pt2 0.750 0.750 0.750

**ΔE to the lowest computed polymorph**: 0 meV/atom
**Total DFT energy (no corrections)**: -7.864 eV/atom
**Calculated density**: 15.9 g cm⁻³

No. 3
A relaxed structure of RbHf3Be. Source: Alexandria via LeMat-Bulk, functional GGA-PBEsol.

abc: 4.886 4.886 4.886
angles: 90.00 90.00 90.00
Atoms (fractional coordinates):
Rb1 0.000 0.000 0.000
Hf1 0.000 0.000 0.500
Hf2 0.000 0.500 0.000
Hf3 0.500 0.000 0.000
Be1 0.500 0.500 0.500

**Total DFT energy (no corrections)**: -4.725 eV/atom
**Calculated density**: 9.0 g cm⁻³

No. 4
A relaxed structure of RbHfBe2. Source: Alexandria via LeMat-Bulk, functional GGA-PBEsol.

abc: 6.278 6.278 6.278
angles: 106.11 106.11 116.42
Atoms (fractional coordinates):
Rb1 0.000 0.000 0.000
Rb2 0.750 0.250 0.500
Hf1 0.250 0.750 0.500
Hf2 0.500 0.500 0.000
Be1 0.178 0.625 0.053
Be2 0.375 0.428 0.553
Be3 0.572 0.125 0.947
Be4 0.875 0.822 0.447

**Total DFT energy (no corrections)**: -3.394 eV/atom
**Calculated density**: 5.0 g cm⁻³